1.
A plane-wave DFT calculation with PBE was carried out for crystalline PmSm12Hg6 at its relaxed geometry.

Output
ΔE_f ... -3.667 eV/f.u.
Crystal system ... trigonal
Electronic total energy ... -200.58 eV for the cell shown

```
data_PmSm12Hg6
_chemical_formula_sum 'Pm3 Sm36 Hg18'
_space_group_name_H-M_alt 'R -3'
_space_group_IT_number 148
_space_group_name_Hall '-R 3'
_cell_length_a 11.4456
_cell_length_b 11.4456
_cell_length_c 14.8203
_cell_angle_alpha 90.00
_cell_angle_beta 90.00
_cell_angle_gamma 120.00
loop_
_atom_site_label
_atom_site_type_symbol
_atom_site_fract_x
_atom_site_fract_y
_atom_site_fract_z
_atom_site_occupancy
Pm1 Pm 0.0000 0.0000 0.0000 1
Sm1 Sm 0.0570 0.8354 0.4110 1
Sm2 Sm 0.0788 0.1917 0.7964 1
Hg1 Hg 0.0296 0.4381 0.7171 1
```

2.
A plane-wave DFT calculation with PBE was carried out for crystalline La12CeTm6 at its relaxed geometry.

Output
ΔE_f ... 0.748 eV/f.u.
Crystal system ... trigonal
Electronic total energy ... -273.43 eV for the cell shown

```
data_La12CeTm6
_chemical_formula_sum 'La36 Ce3 Tm18'
_space_group_name_H-M_alt 'R -3'
_space_group_IT_number 148
_space_group_name_Hall '-R 3'
_cell_length_a 15.9266
_cell_length_b 15.9266
_cell_length_c 8.9580
_cell_angle_alpha 90.00
_cell_angle_beta 90.00
_cell_angle_gamma 120.00
loop_
_atom_site_label
_atom_site_type_symbol
_atom_site_fract_x
_atom_site_fract_y
_atom_site_fract_z
_atom_site_occupancy
La1 La 0.0360 0.2788 0.3376 1
La2 La 0.0740 0.5637 0.6659 1
Ce1 Ce 0.0000 0.0000 0.0000 1
Tm1 Tm 0.0167 0.1351 0.6659 1
```

What did the first record say?
A plane-wave DFT calculation with PBE was carried out for crystalline PmSm12Hg6 at its relaxed geometry.

Output
ΔE_f ... -3.667 eV/f.u.
Crystal system ... trigonal
Electronic total energy ... -200.58 eV for the cell shown

```
data_PmSm12Hg6
_chemical_formula_sum 'Pm3 Sm36 Hg18'
_space_group_name_H-M_alt 'R -3'
_space_group_IT_number 148
_space_group_name_Hall '-R 3'
_cell_length_a 11.4456
_cell_length_b 11.4456
_cell_length_c 14.8203
_cell_angle_alpha 90.00
_cell_angle_beta 90.00
_cell_angle_gamma 120.00
loop_
_atom_site_label
_atom_site_type_symbol
_atom_site_fract_x
_atom_site_fract_y
_atom_site_fract_z
_atom_site_occupancy
Pm1 Pm 0.0000 0.0000 0.0000 1
Sm1 Sm 0.0570 0.8354 0.4110 1
Sm2 Sm 0.0788 0.1917 0.7964 1
Hg1 Hg 0.0296 0.4381 0.7171 1
```

> What is the ΔE_f in the second record?

0.748 eV/f.u.